1.
Li3TaTc, relaxed, DFT PBE; energy above the most stable polymorph in this dataset = 0 meV/atom; crystal system = cubic; space-group type = Pm-3m (221)
1.0
4.288 0.000 0.000
0.000 4.288 0.000
0.000 0.000 4.288
Li Tc Ta
3 1 1
direct
0.000 0.500 0.000 Li
0.000 0.000 0.500 Li
0.500 0.000 0.000 Li
0.000 0.000 0.000 Tc
0.500 0.500 0.500 Ta

=====

2.
LiTaTc, relaxed, DFT PBE; energy above the most stable polymorph in this dataset = 105 meV/atom; crystal system = orthorhombic; space-group type = Fmm2 (42)
1.0
-0.819 6.689 2.408
-1.362 5.015 4.611
2.599 1.087 0.128
Li Ta Tc
1 1 1
direct
0.007 0.007 0.993 Li
0.321 0.321 0.679 Ta
0.672 0.672 0.328 Tc

=====

3.
LiTa4Tc, relaxed, DFT PBE; crystal system = cubic; space-group type = F-43m (216)
1.0
0.000 3.814 3.814
3.814 0.000 3.814
3.814 3.814 0.000
Li Ta Tc
1 4 1
direct
0.000 0.000 0.000 Li
0.871 0.376 0.376 Ta
0.376 0.376 0.871 Ta
0.376 0.871 0.376 Ta
0.376 0.376 0.376 Ta
0.750 0.750 0.750 Tc

=====

4.
LiTaTc3, relaxed, DFT PBE; crystal system = cubic; space-group type = Pm-3m (221)
1.0
-1.746 2.705 3.531
-4.018 -2.587 -0.005
1.908 -2.971 3.220
Li Tc Ta
1 3 1
direct
0.500 0.500 0.500 Li
0.000 0.500 0.000 Tc
0.000 0.000 0.500 Tc
0.500 0.000 0.000 Tc
0.000 0.000 0.000 Ta

=====

5.
LiTa2Tc, relaxed, DFT PBE; crystal system = tetragonal; space-group type = I-4m2 (119)
1.0
5.153 0.000 0.000
2.327 4.597 0.000
-3.740 -2.299 2.698
Li Ta Tc
1 2 1
direct
0.750 0.250 0.500 Li
0.000 0.000 0.000 Ta
0.250 0.750 0.500 Ta
0.500 0.500 0.000 Tc

=====

6.
LiTa3Tc, relaxed, DFT PBE; energy above the most stable polymorph in this dataset = 71 meV/atom; crystal system = cubic; space-group type = Pm-3m (221)
1.0
-3.451 -1.149 2.415
2.438 0.267 3.612
-1.098 4.203 0.431
Li Tc Ta
1 1 3
direct
0.000 0.000 0.000 Li
0.500 0.500 0.500 Tc
0.000 0.500 0.000 Ta
0.000 0.000 0.500 Ta
0.500 0.000 0.000 Ta

=====

7.
LiTaTc4, relaxed, DFT PBE; crystal system = cubic; space-group type = F-43m (216)
1.0
0.000 3.628 3.628
3.628 0.000 3.628
3.628 3.628 0.000
Li Ta Tc
1 1 4
direct
0.250 0.250 0.250 Li
0.000 0.000 0.000 Ta
0.624 0.624 0.127 Tc
0.624 0.127 0.624 Tc
0.624 0.624 0.624 Tc
0.127 0.624 0.624 Tc

=====

8.
LiTaTc, relaxed, DFT PBE; energy above the most stable polymorph in this dataset = 301 meV/atom; crystal system = tetragonal; space-group type = I4mm (107)
1.0
7.226 -0.002 0.000
6.257 3.614 0.000
-6.742 -1.806 1.872
Li Ta Tc
1 1 1
direct
0.008 0.008 0.000 Li
0.328 0.328 0.000 Ta
0.664 0.664 0.000 Tc

=====

9.
LiTaTc2, relaxed, DFT PBE; energy above the most stable polymorph in this dataset = 558 meV/atom; crystal system = tetragonal; space-group type = I-42d (122)
1.0
-3.262 -5.450 -2.577
5.458 -1.425 -3.895
2.078 -4.932 -1.317
Li Tc Ta
2 4 2
direct
0.500 0.500 0.000 Li
0.250 0.750 0.500 Li
0.608 0.125 0.250 Tc
0.142 0.625 0.250 Tc
0.375 0.392 0.750 Tc
0.875 0.858 0.750 Tc
0.000 0.000 0.000 Ta
0.750 0.250 0.500 Ta

=====

10.
LiTa2Tc, relaxed, DFT PBE; crystal system = tetragonal; space-group type = P4mm (99)
1.0
2.710 0.000 0.000
0.000 2.710 0.000
0.000 0.000 9.215
Li Ta Tc
1 2 1
direct
0.500 0.500 0.735 Li
0.000 0.000 0.005 Ta
0.500 0.500 0.257 Ta
0.000 0.000 0.502 Tc

=====

11.
LiTaTc2, relaxed, DFT PBE; energy above the most stable polymorph in this dataset = 56 meV/atom; crystal system = tetragonal; space-group type = I-4m2 (119)
1.0
-0.684 1.692 -3.977
-3.880 -2.015 -0.177
0.937 2.639 3.362
Li Ta Tc
1 1 2
direct
0.500 0.500 0.000 Li
0.750 0.250 0.500 Ta
0.000 0.000 0.000 Tc
0.250 0.750 0.500 Tc

=====

12.
LiTaTc, relaxed, DFT PBE; energy above the most stable polymorph in this dataset = 80 meV/atom; crystal system = orthorhombic; space-group type = Imm2 (44)
1.0
4.774 -0.001 0.001
2.054 4.310 -0.001
-2.772 -3.172 2.247
Li Ta Tc
1 1 1
direct
0.999 0.999 0.000 Li
0.667 0.667 0.000 Ta
0.334 0.334 0.000 Tc

=====

13.
LiTaTc2, relaxed, DFT PBE; energy above the most stable polymorph in this dataset = 101 meV/atom; crystal system = orthorhombic; space-group type = Pmm2 (25)
1.0
2.787 0.000 0.000
0.000 4.024 0.000
0.000 0.000 5.364
Li Ta Tc
1 1 2
direct
0.000 0.000 0.497 Li
0.500 0.500 0.746 Ta
0.000 0.000 0.020 Tc
0.500 0.500 0.236 Tc

=====

14.
LiTa2Tc, relaxed, DFT PBE; crystal system = cubic; space-group type = F-43m (216)
1.0
4.484 0.000 0.000
2.242 3.883 0.000
2.242 1.294 3.661
Li Ta Tc
1 2 1
direct
0.500 0.500 0.500 Li
0.000 0.000 0.000 Ta
0.250 0.250 0.250 Ta
0.750 0.750 0.750 Tc

=====

15.
LiTaTc2, relaxed, DFT PBE; energy above the most stable polymorph in this dataset = 16 meV/atom; crystal system = cubic; space-group type = Fm-3m (225)
1.0
-0.696 -0.384 4.300
0.876 3.355 2.665
-3.271 2.202 1.891
Li Tc Ta
1 2 1
direct
0.000 0.000 0.000 Li
0.250 0.250 0.250 Tc
0.750 0.750 0.750 Tc
0.500 0.500 0.500 Ta

=====

16.
LiTaTc, relaxed, DFT PBE; energy above the most stable polymorph in this dataset = 833 meV/atom; crystal system = cubic; space-group type = F-43m (216)
1.0
-1.239 1.000 -3.958
-1.798 -2.965 -2.486
-4.155 0.238 -0.939
Li Ta Tc
1 1 1
direct
0.500 0.500 0.500 Li
0.250 0.250 0.250 Ta
0.000 0.000 0.000 Tc

=====

17.
LiTaTc, relaxed, DFT PBE; energy above the most stable polymorph in this dataset = 0 meV/atom; crystal system = trigonal; space-group type = P3m1 (156)
1.0
4.443 0.000 0.000
-2.222 3.848 0.000
0.000 0.000 2.677
Li Ta Tc
1 1 1
direct
0.000 0.000 0.971 Li
0.333 0.667 0.347 Ta
0.667 0.333 0.682 Tc

=====

18.
LiTaTc2, relaxed, DFT PBE; energy above the most stable polymorph in this dataset = 16 meV/atom; crystal system = orthorhombic; space-group type = Imm2 (44)
1.0
-0.225 -4.225 3.021
-2.703 -4.085 -1.740
3.966 3.227 -0.941
Li Ta Tc
1 1 2
direct
0.508 0.508 0.000 Li
0.239 0.739 0.500 Ta
0.993 0.993 0.000 Tc
0.760 0.260 0.500 Tc

=====

19.
LiTaTc2, relaxed, DFT PBE; energy above the most stable polymorph in this dataset = 0 meV/atom; crystal system = orthorhombic; space-group type = Cmmm (65)
1.0
2.744 -0.008 0.000
-0.920 2.586 0.000
0.000 0.000 8.783
Li Ta Tc
1 1 2
direct
0.500 0.500 0.250 Li
0.500 0.500 0.750 Ta
0.000 0.000 0.996 Tc
0.000 0.000 0.504 Tc

=====

20.
LiTaTc, relaxed, DFT PBE; energy above the most stable polymorph in this dataset = 38 meV/atom; crystal system = tetragonal; space-group type = I4mm (107)
1.0
4.747 -0.001 0.000
2.448 4.067 0.000
-3.597 -2.033 2.336
Li Ta Tc
1 1 1
direct
0.005 0.005 0.000 Li
0.327 0.327 0.000 Ta
0.668 0.668 0.000 Tc

=====

Computed values of spin magnetization (unit: Bohr magnetons per cell) for the preceding records, in sequence: 0.00; 0.00; 0.00; 2.85; 0.00; 0.00; 0.00; 0.00; 0.00; 0.00; 0.00; 0.00; 0.00; 0.00; 0.00; 0.00; 0.00; 0.00; 0.00; 0.34.
Computed values of formation energy from the elements (unit: eV per atom) for the preceding records, in sequence: 1.56; 0.21; 0.60; 1.61; 0.24; 1.21; 0.13; 0.41; 0.65; 0.31; 0.15; 0.19; 0.20; 0.26; 0.11; 0.94; 0.11; 0.11; 0.09; 0.15.
Computed values of uncorrected energy (unit: eV per atom) for the preceding records, in sequence: -4.028; -7.829; -9.349; -7.359; -8.752; -8.356; -9.078; -7.633; -7.971; -8.684; -8.474; -7.854; -8.429; -8.734; -8.514; -7.101; -7.934; -8.514; -8.530; -7.896.